Material: HfMg2SnN4
Method: DFT, PBE
State: optimized geometry

a b c (Å): 3.196 5.522 5.536
angles (deg): 109.92 90.00 90.00
Sites, in units of the cell vectors:
N 0.500 0.754 0.760
N 0.000 0.261 0.759
N 0.500 0.246 0.240
N 0.000 0.739 0.241
Hf 0.500 0.500 0.000
Mg 0.500 0.000 0.500
Mg 0.000 0.500 0.500
Sn 0.000 0.000 0.000

Calculated values
The formation energy (no corrections) comes out at -79.6 kJ per mole of atoms. For the electronic total energy, the calculation gives -7.130 eV/atom. The space-group type is P2/m, No. 10. Its crystal system is monoclinic. Its size of the total moment is 0.0 Bohr magnetons per cell.



Material: HfMg4Ta3N8
Method: DFT, PBE
State: optimized geometry

a b c (Å): 6.191 6.293 6.191
angles (deg): 119.46 120.00 90.00
Sites, in units of the cell vectors:
N 0.249 0.741 0.992
N 0.751 0.259 0.008
N 0.252 0.256 0.504
N 0.742 0.741 0.992
N 0.748 0.744 0.496
N 0.258 0.259 0.008
N 0.751 0.259 0.501
N 0.249 0.741 0.499
Mg 0.000 0.000 0.000
Mg 0.500 0.000 0.000
Mg 0.000 0.000 0.500
Mg 0.500 0.000 0.500
Ta 0.000 0.500 0.500
Ta 0.500 0.500 0.500
Ta 0.500 0.500 0.000
Hf 0.000 0.500 0.000

Calculated values
The formation energy (no corrections) comes out at -113.2 kJ per mole of atoms. For the electronic total energy, the calculation gives -8.579 eV/atom. The space-group type is R-3m, No. 166. Its crystal system is trigonal. Its size of the total moment is 0.0 Bohr magnetons per cell.



Material: HfMgTa2N4
Method: DFT, PBE
State: optimized geometry

a b c (Å): 3.104 5.364 5.496
angles (deg): 108.69 90.00 90.00
Sites, in units of the cell vectors:
Ta 0.500 0.000 0.500
Ta 0.000 0.500 0.500
N 0.500 0.754 0.751
N 0.500 0.246 0.249
N 0.000 0.243 0.753
N 0.000 0.757 0.247
Mg 0.000 0.000 0.000
Hf 0.500 0.500 0.000

Calculated values
The formation energy (no corrections) comes out at -119.3 kJ per mole of atoms. For the electronic total energy, the calculation gives -9.806 eV/atom. The space-group type is P2/m, No. 10. Its crystal system is monoclinic. Its size of the total moment is 0.0 Bohr magnetons per cell.



Material: Hf2MgTaN
Method: DFT, PBE
State: optimized geometry

a b c (Å): 4.550 4.550 4.163
angles (deg): 90.00 90.00 90.00
Sites, in units of the cell vectors:
Mg 0.500 0.500 0.500
Ta 0.000 0.000 0.500
N 0.000 0.000 0.000
Hf 0.000 0.500 0.000
Hf 0.500 0.000 0.000

Calculated values
The formation energy (no corrections) comes out at -52.7 kJ per mole of atoms. For the electronic total energy, the calculation gives -8.882 eV/atom. The space-group type is P4/mmm, No. 123. Its crystal system is tetragonal. Its size of the total moment is 0.0 Bohr magnetons per cell.



Material: HfMg2TaN4
Method: DFT, PBE
State: optimized geometry

a b c (Å): 3.126 5.425 5.462
angles (deg): 109.22 90.00 90.00
Sites, in units of the cell vectors:
Mg 0.500 0.000 0.500
Mg 0.000 0.500 0.500
N 0.500 0.758 0.759
N 0.000 0.753 0.240
N 0.000 0.247 0.760
N 0.500 0.242 0.241
Hf 0.500 0.500 0.000
Ta 0.000 0.000 0.000

Calculated values
The formation energy (no corrections) comes out at -122.2 kJ per mole of atoms. For the electronic total energy, the calculation gives -8.553 eV/atom. The space-group type is P2/m, No. 10. Its crystal system is monoclinic. Its size of the total moment is 0.0 Bohr magnetons per cell.



Material: HfMg2Ta3N6
Method: DFT, PBE
State: optimized geometry

a b c (Å): 5.348 5.348 5.500
angles (deg): 99.20 99.20 120.12
Sites, in units of the cell vectors:
N 0.582 0.919 0.756
N 0.418 0.081 0.244
N 0.081 0.418 0.244
N 0.751 0.751 0.261
N 0.919 0.582 0.756
N 0.249 0.249 0.739
Mg 0.665 0.335 0.000
Mg 0.335 0.665 0.000
Hf 0.000 0.000 0.000
Ta 0.500 0.500 0.500
Ta 0.820 0.180 0.500
Ta 0.180 0.820 0.500

Calculated values
The formation energy (no corrections) comes out at -117.4 kJ per mole of atoms. For the electronic total energy, the calculation gives -9.438 eV/atom. The space-group type is C2/m, No. 12. Its crystal system is monoclinic. Its size of the total moment is 0.0 Bohr magnetons per cell.